(1)
Here is an optimized crystal structure of Pm5Tm3Bi8 from the Alexandria database. Energies are from PBE.

The density is 9.19 g/cm3. As for the energy: -5.14 eV per atom. The density of states at the Fermi level comes out at 2.90 states/eV/f.u. The calculation puts the formation energy at -14.0 eV per formula unit.

It has space group R-3m (No. 166, hexagonal axes), with a = 9.0555 Å, b = 9.0555 Å, c = 22.1525 Å, α = 90.00°, β = 90.00° and γ = 120.00°. Symmetry generates all atoms from Pm at (0.0000, 0.0000, 0.0000), Pm at (0.0000, 0.0000, 0.5000), Pm at (0.0000, 0.5000, 0.0000), Tm at (0.0000, 0.5000, 0.5000), Bi at (0.0000, 0.0000, 0.2466) and Bi at (0.0044, 0.5022, 0.7522).

***

(2)
Here is an optimized crystal structure of AcTb2AgHg4 from the Alexandria database. Energies are from PBE.

The density is 11.14 g/cm3. As for the energy: -2.54 eV per atom. The density of states at the Fermi level comes out at 7.71 states/eV/f.u. The calculation puts the formation energy at -2.9 eV per formula unit.

It has space group R-3m (No. 166, hexagonal axes), with a = 5.1127 Å, b = 5.1127 Å, c = 28.7325 Å, α = 90.00°, β = 90.00° and γ = 120.00°. Symmetry generates all atoms from Ac at (0.0000, 0.0000, 0.0000), Tb at (0.0000, 0.0000, 0.2331), Ag at (0.0000, 0.0000, 0.5000), Hg at (0.0000, 0.0000, 0.1255) and Hg at (0.0000, 0.0000, 0.3914).

***

(3)
Here is an optimized crystal structure of ZnSbOs from the Alexandria database. Energies are from PBE.

The density is 10.10 g/cm3. As for the energy: -5.21 eV per atom. The density of states at the Fermi level comes out at 1.45 states/eV/f.u. The value obtained for the raw formation energy is 0.33 eV/atom.

It has space group I4mm (No. 107), with a = 3.119 Å, b = 3.119 Å, c = 12.765 Å, α = 90.00°, β = 90.00° and γ = 90.00°. Symmetry generates all atoms from Zn at (0.000, 0.000, 0.000), Sb at (0.000, 0.000, 0.245) and Os at (0.000, 0.000, 0.616).

***

(4)
Here is an optimized crystal structure of Pr4Gd2Co from the Alexandria database. Energies are from PBE.

The density is 6.30 g/cm3. As for the energy: -7.51 eV per atom. The density of states at the Fermi level comes out at 12.91 states/eV/f.u. The calculation puts the formation energy at 1.8 eV per formula unit.

It has space group I4/mmm (No. 139), with a = 5.289 Å, b = 5.289 Å, c = 17.667 Å, α = 90.00°, β = 90.00° and γ = 90.00°. Symmetry generates all atoms from Pr at (0.000, 0.000, 0.161), Pr at (0.000, 0.500, 0.000), Gd at (0.000, 0.000, 0.356) and Co at (0.000, 0.000, 0.000).

***

(5)
Here is an optimized crystal structure of RePb2 from the Alexandria database. Energies are from PBE.

The density is 11.98 g/cm3. As for the energy: -4.89 eV per atom. The density of states at the Fermi level comes out at 3.28 states/eV/f.u. The calculation puts the formation energy at 5.2 eV per formula unit.

It has space group P6_3/mmc (No. 194), with a = 5.9143 Å, b = 5.9143 Å, c = 10.9882 Å, α = 90.00°, β = 90.00° and γ = 120.00°. Symmetry generates all atoms from Re at (0.3333, 0.6667, 0.0376), Pb at (0.0000, 0.0000, 0.0000) and Pb at (0.1688, 0.3376, 0.2500).

***

(6)
Here is an optimized crystal structure of PmHo6Tm from the Alexandria database. Energies are from PBE.

The density is 8.39 g/cm3. As for the energy: -4.43 eV per atom. The density of states at the Fermi level comes out at 12.44 states/eV/f.u. The calculation puts the formation energy at 1.2 eV per formula unit.

It has space group R-3 (No. 148, hexagonal axes), with a = 9.5663 Å, b = 9.5663 Å, c = 9.7671 Å, α = 90.00°, β = 90.00° and γ = 120.00°. Symmetry generates all atoms from Pm at (0.0000, 0.0000, 0.0000), Ho at (0.0013, 0.7046, 0.2510) and Tm at (0.0000, 0.0000, 0.5000).

***

(7)
Here is an optimized crystal structure of LaScS2 from the Alexandria database. Energies are from PBE.

The density is 3.31 g/cm3. As for the energy: -6.35 eV per atom. The density of states at the Fermi level comes out at 0.10 states/eV/f.u. The value obtained for the raw formation energy is -1.47 eV/atom.

It has space group R-3m (No. 166, hexagonal axes), with a = 4.3004 Å, b = 4.3004 Å, c = 23.3109 Å, α = 90.00°, β = 90.00° and γ = 120.00°. Symmetry generates all atoms from La at (0.0000, 0.0000, 0.0000), Sc at (0.0000, 0.0000, 0.5000) and S at (0.0000, 0.0000, 0.3951).

***

(8)
Here is an optimized crystal structure of Yb5Au3 from the Alexandria database. Energies are from PBE.

The density is 11.23 g/cm3. As for the energy: -2.96 eV per atom. The density of states at the Fermi level comes out at 71.01 states/eV/f.u. The calculation puts the formation energy at -6.2 eV per formula unit.

It has space group I4/mcm (No. 140), with a = 7.785 Å, b = 7.785 Å, c = 14.215 Å, α = 90.00°, β = 90.00° and γ = 90.00°. Symmetry generates all atoms from Yb at (0.000, 0.000, 0.000), Yb at (0.167, 0.333, 0.146), Au at (0.000, 0.000, 0.250) and Au at (0.132, 0.368, 0.500).

***

Which of these has the lowest density? LaScS2

***

Which of these has the highest energy? AcTb2AgHg4